(1)
The following is a DFT calculation (PBE) of a relaxed structure of HPtO2.

abc: 4.3255 4.3255 4.9143
angles: 63.89 63.89 90.00
Atoms (fractional coordinates):
1 O 0.2133 0.6250 0.2500
2 O 0.8750 0.7867 0.7500
3 O 0.5367 0.1250 0.2500
4 O 0.3750 0.4633 0.7500
5 Pt 0.0000 0.0000 0.0000
6 Pt 0.7500 0.2500 0.5000
7 H 0.5000 0.5000 0.0000
8 H 0.2500 0.7500 0.5000

Calculated values
Uncorrected energy, eV per atom: -4.612

=====

(2)
The following is a DFT calculation (PBE) of a relaxed structure of HPtO2.

abc: 4.5446 4.5446 4.5446
angles: 43.69 43.69 43.69
Atoms (fractional coordinates):
1 O 0.0978 0.0978 0.0978
2 O 0.9022 0.9022 0.9022
3 H 0.0000 0.0000 0.0000
4 Pt 0.5000 0.5000 0.5000

Calculated values
Uncorrected energy, eV per atom: -5.283

=====

(3)
The following is a DFT calculation (PBE) of a relaxed structure of HPtO2.

abc: 3.6346 3.6346 3.6346
angles: 60.00 60.00 60.00
Atoms (fractional coordinates):
1 O 0.2500 0.2500 0.2500
2 O 0.7500 0.7500 0.7500
3 Pt 0.5000 0.5000 0.5000
4 H 0.0000 0.0000 0.0000

Calculated values
Uncorrected energy, eV per atom: -4.270

=====

Which formula does entry 2 have?
HPtO2